# SnTe3H PBE-GGA relaxed
data_SnTe3H
_cell_length_a 4.900
_cell_length_b 4.900
_cell_length_c 4.900
_cell_angle_alpha 90.00
_cell_angle_beta 90.00
_cell_angle_gamma 90.00
_symmetry_space_group_name_H-M 'P m -3 m'
_symmetry_Int_Tables_number 221
_symmetry_space_group_name_Hall '-P 4 2 3'
loop_
_atom_site_label
_atom_site_fract_x
_atom_site_fract_y
_atom_site_fract_z
Sn1 0.000 0.000 0.000
Te1 0.000 0.500 0.500
H1 0.500 0.500 0.500
# uncorrected energy	-2.894	eV per atom
# relative energy among the computed polymorphs	0.0	meV/atom

# Cs3CaOs PBE-GGA relaxed
data_Cs3CaOs
_cell_length_a 6.461
_cell_length_b 6.461
_cell_length_c 6.461
_cell_angle_alpha 90.00
_cell_angle_beta 90.00
_cell_angle_gamma 90.00
_symmetry_space_group_name_H-M 'P m -3 m'
_symmetry_Int_Tables_number 221
_symmetry_space_group_name_Hall '-P 4 2 3'
loop_
_atom_site_label
_atom_site_fract_x
_atom_site_fract_y
_atom_site_fract_z
Cs1 0.000 0.000 0.500
Ca1 0.500 0.500 0.500
Os1 0.000 0.000 0.000
# uncorrected energy	-1.893	eV per atom
# energy relative to the elements	1.266	eV per atom

# Sr4As2N PBE-GGA relaxed
data_Sr4As2N
_cell_length_a 7.013
_cell_length_b 7.125
_cell_length_c 9.158
_cell_angle_alpha 90.00
_cell_angle_beta 109.31
_cell_angle_gamma 90.00
_symmetry_space_group_name_H-M 'P 1 21/m 1'
_symmetry_Int_Tables_number 11
loop_
_symmetry_equiv_pos_as_xyz
'x,y,z'
'-x,-y,-z'
'-x,y+1/2,-z'
'x,-y+1/2,z'
loop_
_atom_site_label
_atom_site_fract_x
_atom_site_fract_y
_atom_site_fract_z
Sr1 0.022 0.007 0.243
Sr2 0.422 0.250 0.584
Sr3 0.450 0.250 0.139
As1 0.192 0.750 0.547
As2 0.267 0.750 0.066
N1 0.263 0.250 0.313
# uncorrected energy	-4.268	eV per atom
# relative energy among the computed polymorphs	121.6	meV/atom

# CeTh2InFe PBE-GGA relaxed
data_CeTh2InFe
_cell_length_a 7.106
_cell_length_b 4.902
_cell_length_c 8.191
_cell_angle_alpha 90.00
_cell_angle_beta 106.86
_cell_angle_gamma 90.00
_symmetry_space_group_name_H-M 'P 1 21/m 1'
_symmetry_Int_Tables_number 11
loop_
_symmetry_equiv_pos_as_xyz
'x,y,z'
'-x,-y,-z'
'-x,y+1/2,-z'
'x,-y+1/2,z'
loop_
_atom_site_label
_atom_site_fract_x
_atom_site_fract_y
_atom_site_fract_z
Ce1 0.208 0.250 0.075
Th1 0.085 0.750 0.402
Th2 0.461 0.250 0.680
In1 0.232 0.750 0.832
Fe1 0.283 0.250 0.347
# uncorrected energy	-6.550	eV per atom
# energy relative to the elements	-0.155	eV per atom

# TbNdDyMg PBE-GGA relaxed
data_TbNdDyMg
_cell_length_a 3.657
_cell_length_b 3.657
_cell_length_c 9.119
_cell_angle_alpha 90.00
_cell_angle_beta 90.00
_cell_angle_gamma 90.00
_symmetry_space_group_name_H-M 'P 4 m m'
_symmetry_Int_Tables_number 99
loop_
_symmetry_equiv_pos_as_xyz
'x,y,z'
'-y,x,z'
'-x,-y,z'
'y,-x,z'
'-x,y,z'
'y,x,z'
'x,-y,z'
'-y,-x,z'
loop_
_atom_site_label
_atom_site_fract_x
_atom_site_fract_y
_atom_site_fract_z
Tb1 0.000 0.000 0.000
Nd1 0.500 0.500 0.274
Dy1 0.000 0.000 0.546
Mg1 0.500 0.500 0.772
# uncorrected energy	-3.928	eV per atom
# relative energy among the computed polymorphs	0.0	meV/atom
# energy relative to the elements	-0.030	eV per atom

# Cs4NbSe5 PBE-GGA relaxed
data_Cs4NbSe5
_cell_length_a 10.857
_cell_length_b 10.857
_cell_length_c 7.274
_cell_angle_alpha 90.00
_cell_angle_beta 90.00
_cell_angle_gamma 90.00
_symmetry_space_group_name_H-M 'I 4'
_symmetry_Int_Tables_number 79
loop_
_symmetry_equiv_pos_as_xyz
'x,y,z'
'-y,x,z'
'-x,-y,z'
'y,-x,z'
'x+1/2,y+1/2,z+1/2'
'-y+1/2,x+1/2,z+1/2'
'-x+1/2,-y+1/2,z+1/2'
'y+1/2,-x+1/2,z+1/2'
loop_
_atom_site_label
_atom_site_fract_x
_atom_site_fract_y
_atom_site_fract_z
Cs1 0.090 0.300 0.000
Nb1 0.000 0.000 0.417
Se1 0.000 0.000 0.086
Se2 0.072 0.217 0.506
# uncorrected energy	-4.085	eV per atom